A plane-wave DFT calculation with PBE with a Hubbard U was carried out for crystalline PmV2O4 at its relaxed geometry.

Calculated values
- Mass density: 6.0 g/cm³
- Size of the total moment: 5.000 μB/f.u.
- Total DFT energy (no corrections): -8.0483 eV per atom

CIF file:
```
data_PmV2O4
_cell_length_a 9.686
_cell_length_b 7.148
_cell_length_c 6.886
_cell_angle_alpha 90.00
_cell_angle_beta 133.36
_cell_angle_gamma 90.00
_space_group_name_H-M_alt 'C 1 2/c 1'
_space_group_IT_number 15
_space_group_name_Hall '-C 2yc'
loop_
_atom_site_label
_atom_site_type_symbol
_atom_site_fract_x
_atom_site_fract_y
_atom_site_fract_z
_atom_site_occupancy
Pm1 Pm 0.000 0.119 0.250 1
V1 V 0.000 0.500 0.000 1
V2 V 0.250 0.250 0.000 1
O1 O 0.005 0.220 0.568 1
O2 O 0.180 0.460 0.431 1
```